(1)
! CaAg2Cl6, relaxed, DFT GGA-PBE; values from VASP
&SYSTEM
  ibrav = 0, nat = 9, ntyp = 3
/
ATOMIC_SPECIES
Ca 40.08 Ca.upf
Ag 107.87 Ag.upf
Cl 35.45 Cl.upf
CELL_PARAMETERS angstrom
7.092 -2.466 0.000
7.092 2.466 0.000
-5.765 0.000 7.175
ATOMIC_POSITIONS angstrom
Ca 0.000 0.000 0.000
Ag -0.906 0.000 4.366
Ag 9.326 0.000 2.809
Cl -4.020 0.000 5.077
Cl 1.993 0.000 2.697
Cl -0.212 0.000 6.662
Cl 8.632 0.000 0.514
Cl 6.426 0.000 4.478
Cl 12.440 0.000 2.099
! DOS at the Fermi energy in states/eV/f.u.: 1.56
! Electronic total energy in eV per formula unit: -27.77
! Calculated volume in Å³/atom: 27.9
! Spin magnetization in μB per formula unit: 0.00
! Uncorrected formation energy in meV per atom: -999

=====

(2)
! LaTb5In4, relaxed, DFT GGA-PBE; values from VASP
&SYSTEM
  ibrav = 0, nat = 10, ntyp = 3
/
ATOMIC_SPECIES
La 138.91 La.upf
Tb 158.93 Tb.upf
In 114.82 In.upf
CELL_PARAMETERS angstrom
3.569 0.000 0.000
0.000 3.569 0.000
0.000 0.000 22.241
ATOMIC_POSITIONS angstrom
La 0.000 0.000 0.000
Tb 1.784 1.784 2.680
Tb 1.784 1.784 6.888
Tb 1.784 1.784 11.120
Tb 1.784 1.784 15.353
Tb 1.784 1.784 19.561
In 0.000 0.000 4.755
In 0.000 0.000 9.001
In 0.000 0.000 13.240
In 0.000 0.000 17.486
! DOS at the Fermi energy in states/eV/f.u.: 7.04
! Electronic total energy in eV per formula unit: -42.86
! Calculated volume in Å³/atom: 28.3
! Spin magnetization in μB per formula unit: 0.00

=====

(3)
! RbMg2PbBr, relaxed, DFT GGA-PBE; values from VASP
&SYSTEM
  ibrav = 0, nat = 5, ntyp = 4
/
ATOMIC_SPECIES
Rb 85.47 Rb.upf
Mg 24.30 Mg.upf
Pb 207.20 Pb.upf
Br 79.90 Br.upf
CELL_PARAMETERS angstrom
5.357 0.000 0.000
0.000 5.357 0.000
0.000 0.000 7.556
ATOMIC_POSITIONS angstrom
Rb 0.000 0.000 0.000
Mg 0.000 2.678 3.778
Mg 2.678 0.000 3.778
Pb 0.000 0.000 3.778
Br 2.678 2.678 0.000
! DOS at the Fermi energy in states/eV/f.u.: 1.02
! Electronic total energy in eV per formula unit: -10.73
! Calculated volume in Å³/atom: 43.4
! Spin magnetization in μB per formula unit: 0.00
! Uncorrected formation energy in meV per atom: -239

=====

(4)
! Sr2AlCo, relaxed, DFT GGA-PBE; values from VASP
&SYSTEM
  ibrav = 0, nat = 4, ntyp = 3
/
ATOMIC_SPECIES
Sr 87.62 Sr.upf
Al 26.98 Al.upf
Co 58.93 Co.upf
CELL_PARAMETERS angstrom
3.733 0.000 0.000
0.000 3.825 0.000
-0.008 0.000 7.747
ATOMIC_POSITIONS angstrom
Sr -0.001 0.000 1.784
Sr 3.725 0.000 5.963
Al 1.862 1.913 3.873
Co 1.866 1.913 0.000
! DOS at the Fermi energy in states/eV/f.u.: 8.04
! Electronic total energy in eV per formula unit: -12.93
! Calculated volume in Å³/atom: 27.7
! Spin magnetization in μB per formula unit: 0.86

=====

(5)
! La3SmDy3S8, relaxed, DFT GGA-PBE; values from VASP
&SYSTEM
  ibrav = 0, nat = 15, ntyp = 4
/
ATOMIC_SPECIES
La 138.91 La.upf
Sm 150.36 Sm.upf
Dy 162.50 Dy.upf
S 32.06 S.upf
CELL_PARAMETERS angstrom
3.989 2.303 6.682
-3.989 2.303 6.682
0.000 -4.606 6.682
ATOMIC_POSITIONS angstrom
La -1.994 -1.151 6.682
La -1.994 1.151 13.364
La 0.000 2.303 6.682
Sm 0.000 0.000 10.023
Dy -3.989 0.000 10.023
Dy -1.994 1.151 3.341
Dy 1.994 1.151 3.341
S -2.039 -1.177 11.597
S 0.000 0.000 4.881
S 0.000 -2.354 8.449
S -2.039 1.177 8.449
S 2.039 -1.177 11.597
S 0.000 2.354 11.597
S 0.000 0.000 15.165
S 2.039 1.177 8.449
! DOS at the Fermi energy in states/eV/f.u.: 7.76
! Electronic total energy in eV per formula unit: -97.82
! Calculated volume in Å³/atom: 24.6
! Spin magnetization in μB per formula unit: 0.00
! Uncorrected formation energy in meV per atom: -2099

=====

(6)
! Sc2SbRu, relaxed, DFT GGA-PBE; values from VASP
&SYSTEM
  ibrav = 0, nat = 4, ntyp = 3
/
ATOMIC_SPECIES
Sc 44.96 Sc.upf
Sb 121.76 Sb.upf
Ru 101.07 Ru.upf
CELL_PARAMETERS angstrom
-2.031 2.031 4.660
2.031 -2.031 4.660
2.031 2.031 -4.660
ATOMIC_POSITIONS angstrom
Sc 0.000 0.000 0.000
Sc 0.000 2.031 2.330
Sb 0.000 0.000 4.660
Ru 2.031 0.000 2.330
! DOS at the Fermi energy in states/eV/f.u.: 2.78
! Electronic total energy in eV per formula unit: -28.10
! Calculated volume in Å³/atom: 19.2
! Spin magnetization in μB per formula unit: 0.00
! Uncorrected formation energy in meV per atom: -509

=====

(7)
! Cr2GaSb, relaxed, DFT GGA-PBE; values from VASP
&SYSTEM
  ibrav = 0, nat = 8, ntyp = 3
/
ATOMIC_SPECIES
Cr 52.00 Cr.upf
Ga 69.72 Ga.upf
Sb 121.76 Sb.upf
CELL_PARAMETERS angstrom
-1.954 1.954 8.957
1.954 -1.954 8.957
1.954 1.954 -8.957
ATOMIC_POSITIONS angstrom
Cr 2.930 0.642 -2.239
Cr 0.642 0.977 2.239
Cr -0.977 1.311 6.717
Cr 1.311 0.977 11.196
Ga 0.000 0.000 0.000
Ga 0.000 1.954 4.478
Sb 1.954 0.000 4.478
Sb 0.000 0.000 8.957
! DOS at the Fermi energy in states/eV/f.u.: 3.33
! Electronic total energy in eV per formula unit: -24.10
! Calculated volume in Å³/atom: 17.1
! Spin magnetization in μB per formula unit: 0.00
! Uncorrected formation energy in meV per atom: 573

=====

(8)
! Zn2IrBr, relaxed, DFT GGA-PBE; values from VASP
&SYSTEM
  ibrav = 0, nat = 4, ntyp = 3
/
ATOMIC_SPECIES
Zn 65.41 Zn.upf
Ir 192.22 Ir.upf
Br 79.90 Br.upf
CELL_PARAMETERS angstrom
1.474 0.851 9.354
-1.474 0.851 9.354
0.000 -1.702 9.354
ATOMIC_POSITIONS angstrom
Zn 0.000 0.000 0.000
Zn 0.000 0.000 7.277
Ir 0.000 0.000 14.698
Br 0.000 0.000 20.971
! DOS at the Fermi energy in states/eV/f.u.: 3.07
! Electronic total energy in eV per formula unit: -11.54
! Calculated volume in Å³/atom: 17.6
! Spin magnetization in μB per formula unit: 0.25
! Uncorrected formation energy in meV per atom: 385

=====

(9)
! Sr2CuH6Rh, relaxed, DFT GGA-PBE; values from VASP
&SYSTEM
  ibrav = 0, nat = 10, ntyp = 4
/
ATOMIC_SPECIES
Sr 87.62 Sr.upf
Cu 63.55 Cu.upf
H 1.01 H.upf
Rh 102.91 Rh.upf
CELL_PARAMETERS angstrom
-2.699 2.699 3.771
2.699 -2.699 3.771
2.699 2.699 -3.771
ATOMIC_POSITIONS angstrom
Sr 2.699 0.000 1.886
Sr 0.000 2.699 1.886
Cu 0.000 0.000 0.000
H 0.000 0.000 1.968
H 1.422 1.422 0.000
H 1.277 -1.277 3.771
H -1.277 1.277 3.771
H 1.277 1.277 3.771
H 0.000 0.000 5.575
Rh 0.000 0.000 3.771
! DOS at the Fermi energy in states/eV/f.u.: 1.85
! Electronic total energy in eV per formula unit: -39.54
! Calculated volume in Å³/atom: 11.0
! Spin magnetization in μB per formula unit: 0.00

=====

(10)
! Mn2TcTe, relaxed, DFT GGA-PBE; values from VASP
&SYSTEM
  ibrav = 0, nat = 4, ntyp = 3
/
ATOMIC_SPECIES
Mn 54.94 Mn.upf
Tc 98.00 Tc.upf
Te 127.60 Te.upf
CELL_PARAMETERS angstrom
3.213 0.000 0.000
0.000 4.336 0.000
0.000 0.000 4.488
ATOMIC_POSITIONS angstrom
Mn 0.000 0.000 0.000
Mn 0.000 2.168 1.402
Tc 1.606 2.168 3.819
Te 1.606 0.000 2.167
! DOS at the Fermi energy in states/eV/f.u.: 3.83
! Electronic total energy in eV per formula unit: -30.47
! Calculated volume in Å³/atom: 15.6
! Spin magnetization in μB per formula unit: 5.30
! Uncorrected formation energy in meV per atom: 343

=====

(11)
! Pm5Dy4Zn, relaxed, DFT GGA-PBE; values from VASP
&SYSTEM
  ibrav = 0, nat = 10, ntyp = 3
/
ATOMIC_SPECIES
Pm 145.00 Pm.upf
Dy 162.50 Dy.upf
Zn 65.41 Zn.upf
CELL_PARAMETERS angstrom
3.622 0.000 0.000
0.000 3.622 0.000
0.000 0.000 23.860
ATOMIC_POSITIONS angstrom
Pm 0.000 0.000 0.000
Pm 0.000 0.000 5.041
Pm 0.000 0.000 10.103
Pm 0.000 0.000 13.758
Pm 0.000 0.000 18.819
Dy 1.811 1.811 2.513
Dy 1.811 1.811 7.538
Dy 1.811 1.811 16.323
Dy 1.811 1.811 21.347
Zn 1.811 1.811 11.930
! DOS at the Fermi energy in states/eV/f.u.: 12.43
! Electronic total energy in eV per formula unit: -43.93
! Calculated volume in Å³/atom: 31.3
! Spin magnetization in μB per formula unit: 0.00

=====

(12)
! CeAlB4, relaxed, DFT GGA-PBE; values from VASP
&SYSTEM
  ibrav = 0, nat = 24, ntyp = 3
/
ATOMIC_SPECIES
Ce 140.12 Ce.upf
Al 26.98 Al.upf
B 10.81 B.upf
CELL_PARAMETERS angstrom
6.009 0.000 0.000
0.000 11.640 0.000
0.000 0.000 3.650
ATOMIC_POSITIONS angstrom
Ce 0.760 1.759 0.000
Ce 2.244 7.579 0.000
Ce 3.765 4.061 0.000
Ce 5.249 9.880 0.000
Al 0.830 4.765 0.000
Al 2.174 10.585 0.000
Al 3.835 1.055 0.000
Al 5.179 6.875 0.000
B 0.173 8.049 1.825
B 0.678 6.354 1.825
B 0.807 11.278 1.825
B 1.279 9.454 1.825
B 1.726 3.634 1.825
B 2.197 5.458 1.825
B 2.327 0.534 1.825
B 2.831 2.229 1.825
B 3.178 9.411 1.825
B 3.682 11.105 1.825
B 3.812 6.182 1.825
B 4.283 8.006 1.825
B 4.731 2.186 1.825
B 5.202 0.362 1.825
B 5.331 5.286 1.825
B 5.836 3.591 1.825
! DOS at the Fermi energy in states/eV/f.u.: 2.68
! Electronic total energy in eV per formula unit: -39.18
! Calculated volume in Å³/atom: 10.6
! Spin magnetization in μB per formula unit: 0.00

=====

> Which value of DOS at the Fermi energy does entry 5 give?

7.76 states/eV/f.u.

=====

> What is the calculated volume in the third record?

43.4 Å³/atom